First-principles (PBE) data for a geometry-optimized Zr3Co2 structure, as listed in the Alexandria database. Values from VASP.

Summary:
Its electronic total energy is -0.5858 Ry per atom.

The structure in Quantum ESPRESSO input format:
```
&SYSTEM
  ibrav = 0, nat = 5, ntyp = 2
/
ATOMIC_SPECIES
Zr 91.22 Zr.upf
Co 58.93 Co.upf
ATOMIC_POSITIONS crystal
Zr 0.000 0.000 0.000
Zr 0.214 0.214 0.214
Zr 0.786 0.786 0.786
Co 0.395 0.395 0.395
Co 0.605 0.605 0.605
CELL_PARAMETERS angstrom
9.627 -1.677 0.014
9.627 1.677 0.014
9.330 0.000 2.904
```



First-principles (PBE) data for a geometry-optimized Pm2Sm5Y structure, as listed in the Alexandria database. Values from VASP.

Summary:
Its electronic total energy is -0.3465 Ry per atom.

The structure in Quantum ESPRESSO input format:
```
&SYSTEM
  ibrav = 0, nat = 16, ntyp = 3
/
ATOMIC_SPECIES
Pm 145.00 Pm.upf
Sm 150.36 Sm.upf
Y 88.91 Y.upf
ATOMIC_POSITIONS crystal
Pm 0.865 0.638 0.407
Pm 0.865 0.638 0.093
Pm 0.135 0.362 0.593
Pm 0.135 0.362 0.907
Sm 0.251 0.001 0.981
Sm 0.251 0.001 0.519
Sm 0.364 0.635 0.407
Sm 0.364 0.635 0.093
Sm 0.478 0.271 0.250
Sm 0.522 0.729 0.750
Sm 0.636 0.365 0.593
Sm 0.636 0.365 0.907
Sm 0.749 0.999 0.019
Sm 0.749 0.999 0.481
Y 0.020 0.725 0.750
Y 0.980 0.275 0.250
CELL_PARAMETERS angstrom
6.618 -2.945 0.000
-8.467 12.136 0.000
0.000 0.000 10.203
```



First-principles (PBE) data for a geometry-optimized ErPuPd2 structure, as listed in the Alexandria database. Values from VASP.

Summary:
Its electronic total energy is -0.5869 Ry per atom.

The structure in Quantum ESPRESSO input format:
```
&SYSTEM
  ibrav = 0, nat = 4, ntyp = 3
/
ATOMIC_SPECIES
Er 167.26 Er.upf
Pd 106.42 Pd.upf
Pu 244.00 Pu.upf
ATOMIC_POSITIONS crystal
Er 0.500 0.500 0.000
Pd 0.000 0.000 0.771
Pd 0.000 0.000 0.229
Pu 0.500 0.500 0.500
CELL_PARAMETERS angstrom
-1.266 -2.945 -1.273
2.810 -1.679 1.089
-3.238 -1.332 6.301
```



First-principles (PBE) data for a geometry-optimized Tm12ZnNi5 structure, as listed in the Alexandria database. Values from VASP.

Summary:
Its electronic total energy is -0.3666 Ry per atom.

The structure in Quantum ESPRESSO input format:
```
&SYSTEM
  ibrav = 0, nat = 18, ntyp = 3
/
ATOMIC_SPECIES
Tm 168.93 Tm.upf
Zn 65.41 Zn.upf
Ni 58.69 Ni.upf
ATOMIC_POSITIONS crystal
Tm 0.539 0.820 0.718
Tm 0.461 0.180 0.282
Tm 0.898 0.180 0.718
Tm 0.102 0.820 0.282
Tm 0.695 0.675 0.370
Tm 0.305 0.325 0.630
Tm 0.305 0.675 0.979
Tm 0.695 0.325 0.021
Tm 0.812 0.583 0.771
Tm 0.188 0.417 0.229
Tm 0.188 0.960 0.771
Tm 0.812 0.040 0.229
Zn 0.000 0.500 0.500
Ni 0.648 0.648 0.000
Ni 0.352 0.352 0.000
Ni 0.500 0.122 0.622
Ni 0.500 0.878 0.378
Ni 0.000 0.000 0.000
CELL_PARAMETERS angstrom
-7.780 -2.371 -0.065
4.762 -5.880 -2.983
2.546 1.510 7.576
```



First-principles (PBE) data for a geometry-optimized Cu6Pt7 structure, as listed in the Alexandria database. Values from VASP.

Summary:
Its electronic total energy is -0.3716 Ry per atom.

The structure in Quantum ESPRESSO input format:
```
&SYSTEM
  ibrav = 0, nat = 13, ntyp = 2
/
ATOMIC_SPECIES
Cu 63.55 Cu.upf
Pt 195.08 Pt.upf
ATOMIC_POSITIONS crystal
Cu 0.937 0.937 0.937
Cu 0.063 0.063 0.063
Cu 0.839 0.839 0.839
Cu 0.161 0.161 0.161
Cu 0.666 0.666 0.666
Cu 0.334 0.334 0.334
Pt 0.921 0.415 0.415
Pt 0.415 0.415 0.921
Pt 0.415 0.921 0.415
Pt 0.079 0.585 0.585
Pt 0.585 0.079 0.585
Pt 0.585 0.585 0.079
Pt 0.500 0.500 0.500
CELL_PARAMETERS angstrom
-8.988 0.855 -0.096
-7.806 -3.490 -2.901
-7.882 -3.694 2.399
```



First-principles (PBE) data for a geometry-optimized Sm6DyTm12 structure, as listed in the Alexandria database. Values from VASP.

Summary:
Its electronic total energy is -0.3187 Ry per atom.

The structure in Quantum ESPRESSO input format:
```
&SYSTEM
  ibrav = 0, nat = 19, ntyp = 3
/
ATOMIC_SPECIES
Sm 150.36 Sm.upf
Dy 162.50 Dy.upf
Tm 168.93 Tm.upf
ATOMIC_POSITIONS crystal
Sm 0.901 0.344 0.901
Sm 0.901 0.901 0.344
Sm 0.344 0.901 0.901
Sm 0.099 0.099 0.656
Sm 0.099 0.656 0.099
Sm 0.656 0.099 0.099
Dy 0.000 0.000 0.000
Tm 0.757 0.243 0.500
Tm 0.355 0.082 0.355
Tm 0.355 0.355 0.082
Tm 0.918 0.645 0.645
Tm 0.645 0.645 0.918
Tm 0.645 0.918 0.645
Tm 0.500 0.757 0.243
Tm 0.243 0.500 0.757
Tm 0.243 0.757 0.500
Tm 0.500 0.243 0.757
Tm 0.757 0.500 0.243
Tm 0.082 0.355 0.355
CELL_PARAMETERS angstrom
8.554 -0.151 -1.175
-1.327 8.452 -1.175
-0.132 -0.151 8.633
```



| no. | magnetic moment (Bohr magnetons per cell) | ΔH_f (0 K) (eV per atom) |
| --- | --- | --- |
| 1 | 0.000 | 0.00 |
| 2 | 0.000 | 0.23 |
| 3 | 5.924 | -0.66 |
| 4 | 0.000 | -0.33 |
| 5 | 0.000 | 0.09 |
| 6 | 0.000 | 0.22 |